Entry 1:
## CrOs (meta-GGA SCAN)

Data for a crystal of CrOs relaxed with PBEsol.

Structure (CIF):
```
data_CrOs
_symmetry_space_group_name_H-M 'P 4/n m m'
_symmetry_Int_Tables_number 129
_cell_length_a 2.830
_cell_length_b 2.830
_cell_length_c 6.290
_cell_angle_alpha 90.00
_cell_angle_beta 90.00
_cell_angle_gamma 90.00
loop_
_symmetry_equiv_pos_as_xyz
'x,y,z'
'-x,-y,-z'
'-y+1/2,x,z'
'y+1/2,-x,-z'
'-x+1/2,-y+1/2,z'
'x+1/2,y+1/2,-z'
'y,-x+1/2,z'
'-y,x+1/2,-z'
'x+1/2,-y,-z'
'-x+1/2,y,z'
'-y,-x,-z'
'y,x,z'
'-x,y+1/2,-z'
'x,-y+1/2,z'
'y+1/2,x+1/2,-z'
'-y+1/2,-x+1/2,z'
loop_
_atom_site_label
_atom_site_type_symbol
_atom_site_fract_x
_atom_site_fract_y
_atom_site_fract_z
Cr1 Cr 0.250 0.250 0.094
Os1 Os 0.250 0.250 0.648
```

Summary:
Crystal system: tetragonal
Formation energy in meV/atom: 126
VASP energy in eV per formula unit: -90.0

Entry 2:
## Cr2Os3 (meta-GGA SCAN)

Data for a crystal of Cr2Os3 relaxed with PBEsol.

Structure (CIF):
```
data_Cr2Os3
_symmetry_space_group_name_H-M 'P -3 m 1'
_symmetry_Int_Tables_number 164
_symmetry_space_group_name_Hall '-P 3 2"'
_cell_length_a 4.0187
_cell_length_b 4.0187
_cell_length_c 5.0422
_cell_angle_alpha 90.00
_cell_angle_beta 90.00
_cell_angle_gamma 120.00
loop_
_atom_site_label
_atom_site_type_symbol
_atom_site_fract_x
_atom_site_fract_y
_atom_site_fract_z
Cr1 Cr 0.3333 0.6667 0.3201
Os1 Os 0.0000 0.0000 0.5000
Os2 Os 0.3333 0.6667 0.8451
```

Summary:
Crystal system: trigonal
Formation energy in meV/atom: 330
VASP energy in eV per formula unit: -250.8

Entry 3:
## CrOs2 (meta-GGA SCAN)

Data for a crystal of CrOs2 relaxed with PBEsol.

Structure (CIF):
```
data_CrOs2
_symmetry_space_group_name_H-M 'I m m m'
_symmetry_Int_Tables_number 71
_symmetry_space_group_name_Hall '-I 2 2'
_cell_length_a 2.673
_cell_length_b 3.719
_cell_length_c 7.972
_cell_angle_alpha 90.00
_cell_angle_beta 90.00
_cell_angle_gamma 90.00
loop_
_atom_site_label
_atom_site_type_symbol
_atom_site_fract_x
_atom_site_fract_y
_atom_site_fract_z
Cr1 Cr 0.000 0.000 0.000
Os1 Os 0.000 0.000 0.336
```

Summary:
Crystal system: orthorhombic
Formation energy in meV/atom: 107
VASP energy in eV per formula unit: -161.8

Entry 4:
## CrOs (meta-GGA SCAN)

Data for a crystal of CrOs relaxed with PBEsol.

Structure (CIF):
```
data_CrOs
_symmetry_space_group_name_H-M 'P n m a'
_symmetry_Int_Tables_number 62
_symmetry_space_group_name_Hall '-P 2ac 2n'
_cell_length_a 4.602
_cell_length_b 4.228
_cell_length_c 5.234
_cell_angle_alpha 90.00
_cell_angle_beta 90.00
_cell_angle_gamma 90.00
loop_
_atom_site_label
_atom_site_type_symbol
_atom_site_fract_x
_atom_site_fract_y
_atom_site_fract_z
Cr1 Cr 0.091 0.250 0.122
Os1 Os 0.091 0.250 0.626
```

Summary:
Crystal system: orthorhombic
Formation energy in meV/atom: 83
VASP energy in eV per formula unit: -90.1

Entry 5:
## Cr7Os6 (meta-GGA SCAN)

Data for a crystal of Cr7Os6 relaxed with PBEsol.

Structure (CIF):
```
data_Cr7Os6
_symmetry_space_group_name_H-M 'R -3 m'
_symmetry_Int_Tables_number 166
_symmetry_space_group_name_Hall '-R 3 2"'
_cell_length_a 4.6393
_cell_length_b 4.6393
_cell_length_c 25.9129
_cell_angle_alpha 90.00
_cell_angle_beta 90.00
_cell_angle_gamma 120.00
loop_
_atom_site_label
_atom_site_type_symbol
_atom_site_fract_x
_atom_site_fract_y
_atom_site_fract_z
Cr1 Cr 0.0000 0.0000 0.0000
Cr2 Cr 0.0030 0.5015 0.4089
Os1 Os 0.0000 0.0000 0.1674
Os2 Os 0.0000 0.0000 0.3481
Os3 Os 0.0000 0.0000 0.4524
```

Summary:
Crystal system: trigonal
Formation energy in meV/atom: 20
VASP energy in eV per formula unit: -559.7

Entry 6:
## CrOs2 (meta-GGA SCAN)

Data for a crystal of CrOs2 relaxed with PBEsol.

Structure (CIF):
```
data_CrOs2
_symmetry_space_group_name_H-M 'C 1 2/m 1'
_symmetry_Int_Tables_number 12
_symmetry_space_group_name_Hall '-C 2y'
_cell_length_a 9.660
_cell_length_b 2.686
_cell_length_c 6.282
_cell_angle_alpha 90.00
_cell_angle_beta 104.43
_cell_angle_gamma 90.00
loop_
_atom_site_label
_atom_site_type_symbol
_atom_site_fract_x
_atom_site_fract_y
_atom_site_fract_z
Cr1 Cr 0.032 0.000 0.303
Os1 Os 0.137 0.500 0.029
Os2 Os 0.189 0.500 0.633
```

Summary:
Crystal system: monoclinic
Formation energy in meV/atom: 9
VASP energy in eV per formula unit: -162.1

Entry 7:
## CrOs4 (meta-GGA SCAN)

Data for a crystal of CrOs4 relaxed with PBEsol.

Structure (CIF):
```
data_CrOs4
_symmetry_space_group_name_H-M 'I 4/m'
_symmetry_Int_Tables_number 87
_symmetry_space_group_name_Hall '-I 4'
_cell_length_a 5.989
_cell_length_b 5.989
_cell_length_c 3.774
_cell_angle_alpha 90.00
_cell_angle_beta 90.00
_cell_angle_gamma 90.00
loop_
_atom_site_label
_atom_site_type_symbol
_atom_site_fract_x
_atom_site_fract_y
_atom_site_fract_z
Cr1 Cr 0.000 0.000 0.000
Os1 Os 0.100 0.702 0.500
```

Summary:
Crystal system: tetragonal
Formation energy in meV/atom: 103
VASP energy in eV per formula unit: -305.4

Entry 8:
## CrOs4 (meta-GGA SCAN)

Data for a crystal of CrOs4 relaxed with PBEsol.

Structure (CIF):
```
data_CrOs4
_symmetry_space_group_name_H-M 'I m -3 m'
_symmetry_Int_Tables_number 229
_symmetry_space_group_name_Hall '-I 4 2 3'
_cell_length_a 5.441
_cell_length_b 5.441
_cell_length_c 5.441
_cell_angle_alpha 90.00
_cell_angle_beta 90.00
_cell_angle_gamma 90.00
loop_
_atom_site_label
_atom_site_type_symbol
_atom_site_fract_x
_atom_site_fract_y
_atom_site_fract_z
Cr1 Cr 0.000 0.000 0.000
Os1 Os 0.250 0.250 0.250
```

Summary:
Crystal system: cubic
Formation energy in meV/atom: 1465
VASP energy in eV per formula unit: -298.6